This record from the Alexandria database describes crystalline CuHg at its relaxed geometry. The functional is PBE.

The calculation puts the energy at -7.1 eV for the cell shown. The value obtained for the formation energy is 432 meV/atom. As for the calculated volume: 96.0 Å³ per cell. The total magnetization comes out at 0.00 Bohr magnetons per cell.

The structure belongs to space group P6_3/mmc (No. 194); the cell edges are 4.6186, 4.6186 and 5.1982 Å and the angles 90.00°, 90.00° and 120.00°. The distinct sites, in fractional coordinates, are Cu at (0.3333, 0.6667, 0.2500) and Hg at (0.3333, 0.6667, 0.7500).